A.
The following is a GGA+U calculation of crystalline Ba5SrLa2Fe4O15 at its relaxed geometry, from Alexandria.

a = 11.9270 Å, b = 20.5951 Å, c = 7.1140 Å
α = 90.00°, β = 90.28°, γ = 90.00°
Space group Cc (No. 9)
Symmetry-distinct sites (fractional):
Ba (0.0000, 0.0002, 0.0000) [4 per cell]
Ba (0.0007, 0.1764, 0.3458) [4 per cell]
Ba (0.2384, 0.4107, 0.3470) [4 per cell]
Ba (0.2603, 0.0889, 0.8383) [4 per cell]
Ba (0.4988, 0.1680, 0.5364) [4 per cell]
Sr (0.2174, 0.2616, 0.6731) [4 per cell]
La (0.0011, 0.4784, 0.6705) [4 per cell]
La (0.2831, 0.2392, 0.1756) [4 per cell]
Fe (0.0009, 0.3340, 0.4950) [4 per cell]
Fe (0.0031, 0.1798, 0.8419) [4 per cell]
Fe (0.2315, 0.4099, 0.8452) [4 per cell]
Fe (0.2696, 0.0884, 0.3391) [4 per cell]
O (0.0011, 0.4156, 0.3436) [4 per cell]
O (0.0096, 0.0980, 0.7305) [4 per cell]
O (0.1200, 0.2940, 0.3410) [4 per cell]
O (0.1224, 0.3773, 0.6664) [4 per cell]
O (0.1321, 0.1972, 0.9915) [4 per cell]
O (0.1370, 0.4680, 0.9794) [4 per cell]
O (0.1488, 0.0447, 0.2337) [4 per cell]
O (0.2335, 0.1647, 0.4696) [4 per cell]
O (0.2704, 0.3365, 0.9917) [4 per cell]
O (0.3540, 0.4504, 0.7347) [4 per cell]
O (0.3675, 0.0327, 0.4765) [4 per cell]
O (0.3690, 0.3032, 0.4712) [4 per cell]
O (0.3761, 0.1233, 0.1608) [4 per cell]
O (0.3816, 0.2059, 0.8500) [4 per cell]
O (0.4977, 0.2479, 0.1675) [4 per cell]

## Properties
- N(E_F) (states/eV per atom) = 0.000

B.
The following is a GGA+U calculation of crystalline Ba5SrLa2Fe4O15 at its relaxed geometry, from Alexandria.

a = 20.7765 Å, b = 11.9083 Å, c = 14.2959 Å
α = 90.00°, β = 90.08°, γ = 90.00°
Space group Cc (No. 9)
Symmetry-distinct sites (fractional):
Ba (0.0000, 0.9998, 0.0000) [4 per cell]
Ba (0.0021, 0.0009, 0.2499) [4 per cell]
Ba (0.0854, 0.2619, 0.5842) [4 per cell]
Ba (0.0868, 0.2638, 0.0806) [4 per cell]
Ba (0.1649, 0.4984, 0.7357) [4 per cell]
Ba (0.1741, 0.0042, 0.8355) [4 per cell]
Ba (0.3246, 0.4993, 0.0785) [4 per cell]
Ba (0.3337, 0.0031, 0.9899) [4 per cell]
Ba (0.4119, 0.2386, 0.8307) [4 per cell]
Ba (0.4147, 0.2368, 0.3297) [4 per cell]
Sr (0.2398, 0.2872, 0.9175) [4 per cell]
Sr (0.4777, 0.0016, 0.6690) [4 per cell]
La (0.0203, 0.4985, 0.4182) [4 per cell]
La (0.2408, 0.2829, 0.4170) [4 per cell]
La (0.2607, 0.2194, 0.1638) [4 per cell]
La (0.2608, 0.2193, 0.6689) [4 per cell]
Fe (0.0914, 0.2705, 0.8338) [4 per cell]
Fe (0.0915, 0.2674, 0.3333) [4 per cell]
Fe (0.1650, 0.4987, 0.5086) [4 per cell]
Fe (0.1793, 0.0010, 0.5825) [4 per cell]
Fe (0.3230, 0.4989, 0.3264) [4 per cell]
Fe (0.3334, 0.0005, 0.2620) [4 per cell]
Fe (0.4112, 0.2316, 0.0824) [4 per cell]
Fe (0.4108, 0.2320, 0.5796) [4 per cell]
O (0.0319, 0.3597, 0.2720) [4 per cell]
O (0.0319, 0.3631, 0.7719) [4 per cell]
O (0.0551, 0.1424, 0.8863) [4 per cell]
O (0.0571, 0.1379, 0.3855) [4 per cell]
O (0.0817, 0.4981, 0.5826) [4 per cell]
O (0.0967, 0.0035, 0.6322) [4 per cell]
O (0.1247, 0.3787, 0.9226) [4 per cell]
O (0.1265, 0.3729, 0.4231) [4 per cell]
O (0.1640, 0.2369, 0.7578) [4 per cell]
O (0.1673, 0.2368, 0.2628) [4 per cell]
O (0.1994, 0.1324, 0.0181) [4 per cell]
O (0.2020, 0.1340, 0.5158) [4 per cell]
O (0.2072, 0.3823, 0.0849) [4 per cell]
O (0.2084, 0.3776, 0.5806) [4 per cell]
O (0.2479, 0.0005, 0.1740) [4 per cell]
O (0.2541, 0.4931, 0.4154) [4 per cell]
O (0.2916, 0.1252, 0.3345) [4 per cell]
O (0.2925, 0.1250, 0.8303) [4 per cell]
O (0.3045, 0.3717, 0.7535) [4 per cell]
O (0.3059, 0.3639, 0.2594) [4 per cell]
O (0.3352, 0.2747, 0.0198) [4 per cell]
O (0.3352, 0.2747, 0.5125) [4 per cell]
O (0.3724, 0.1287, 0.6676) [4 per cell]
O (0.3726, 0.1263, 0.1697) [4 per cell]
O (0.4054, 0.4960, 0.8789) [4 per cell]
O (0.4137, 0.9997, 0.3363) [4 per cell]
O (0.4557, 0.3517, 0.6323) [4 per cell]
O (0.4577, 0.3494, 0.1355) [4 per cell]
O (0.4649, 0.1418, 0.0054) [4 per cell]
O (0.4658, 0.1411, 0.5057) [4 per cell]

Energy comparison, zero being the most stable, in meV/atom: A 43; B 0.